# 1
A plane-wave DFT calculation with PBE was carried out for a geometry-optimized KZn2InCl8 structure.

Output
- E_tot: -35.9 eV/cell
- Formation energy (no corrections): -1.2308 eV/atom

```
KZn2InCl8
1.0
-0.692 -4.878 -4.006
-2.403 -5.498 2.077
-10.076 -0.347 -2.869
Zn Cl K In
2 8 1 1
Direct
0.743 0.743 0.770
0.257 0.257 0.230
0.629 0.281 0.154
0.281 0.936 0.154
0.719 0.064 0.846
0.819 0.819 0.544
0.936 0.629 0.154
0.064 0.371 0.846
0.371 0.719 0.846
0.181 0.181 0.456
0.500 0.500 0.500
0.000 0.000 0.000
```

=====

# 2
A plane-wave DFT calculation with PBE was carried out for a geometry-optimized KZrIn2Cl8 structure.

Output
- E_tot: -46.7 eV/cell
- Formation energy (no corrections): -1.4035 eV/atom

```
KZrIn2Cl8
1.0
6.870 0.041 -0.004
0.076 6.543 -0.004
0.006 0.015 8.758
Cl In K Zr
8 2 1 1
Direct
0.858 0.227 0.796
0.857 0.227 0.203
0.142 0.773 0.204
0.357 0.294 0.500
0.143 0.773 0.797
0.643 0.706 0.500
0.702 0.791 0.000
0.298 0.209 0.000
0.500 0.500 0.253
0.500 0.500 0.747
0.000 0.000 0.500
0.000 0.000 0.000
```

=====

# 3
A plane-wave DFT calculation with PBE was carried out for a geometry-optimized K2ZrInCl structure.

Output
- E_tot: -13.1 eV/cell
- Formation energy (no corrections): 0.4526 eV/atom

```
K2ZrInCl
1.0
7.169 0.000 0.000
0.000 5.450 0.000
0.000 0.000 7.169
In K Zr Cl
1 2 1 1
Direct
0.000 0.500 0.000
0.500 0.000 0.000
0.000 0.000 0.500
0.000 0.000 0.000
0.500 0.500 0.500
```

=====

# 4
A plane-wave DFT calculation with PBE was carried out for a geometry-optimized KZrInCl6 structure.

Output
- E_tot: -76.7 eV/cell
- Formation energy (no corrections): -1.6532 eV/atom

```
KZrInCl6
1.0
-5.584 0.516 5.111
3.351 -6.682 -1.296
8.308 2.454 8.829
Cl Zr K In
12 2 2 2
Direct
0.397 0.065 0.133
0.667 0.065 0.367
0.065 0.397 0.633
0.397 0.333 0.367
0.935 0.333 0.133
0.065 0.667 0.867
0.603 0.667 0.633
0.603 0.935 0.867
0.935 0.603 0.367
0.667 0.603 0.133
0.333 0.397 0.867
0.333 0.935 0.633
0.333 0.667 0.750
0.667 0.333 0.250
0.333 0.667 0.250
0.667 0.333 0.750
0.000 0.000 0.000
0.000 0.000 0.500
```

=====

# 5
A plane-wave DFT calculation with PBE was carried out for a geometry-optimized LaInCl2 structure.

Output
- E_tot: -16.8 eV/cell
- Polymorph energy (0 for the lowest one): 0.000 eV/f.u.
- Formation energy (no corrections): -1.3646 eV/atom

```
LaInCl2
1.0
3.517 0.000 0.000
0.000 3.517 0.000
0.000 0.000 10.467
In Cl La
1 2 1
Direct
0.500 0.500 0.250
0.000 0.000 0.908
0.000 0.000 0.592
0.500 0.500 0.750
```

=====

# 6
A plane-wave DFT calculation with PBE was carried out for a geometry-optimized La2InCl2 structure.

Output
- E_tot: -43.7 eV/cell
- Formation energy (no corrections): -1.1122 eV/atom

```
La2InCl2
1.0
-7.708 0.969 -4.210
2.160 -6.594 -5.472
-1.492 -2.314 2.199
Cl In La
4 2 4
Direct
0.122 0.622 0.500
0.878 0.378 0.500
0.622 0.878 0.500
0.378 0.122 0.500
0.500 0.500 0.000
0.000 0.000 0.000
0.828 0.672 0.000
0.328 0.828 0.000
0.172 0.328 0.000
0.672 0.172 0.000
```

=====

# 7
A plane-wave DFT calculation with PBE was carried out for a geometry-optimized LaInCl6 structure.

Output
- E_tot: -32.2 eV/cell
- Formation energy (no corrections): -1.6813 eV/atom

```
LaInCl6
1.0
6.662 0.107 0.000
1.736 6.482 0.000
0.868 3.241 6.167
La Cl In
1 6 1
Direct
0.000 0.000 0.000
0.730 0.422 0.711
0.270 0.867 0.711
0.737 0.746 0.000
0.263 0.254 0.000
0.730 0.133 0.289
0.270 0.578 0.289
0.500 0.500 0.000
```

=====

# 8
A plane-wave DFT calculation with PBE was carried out for a geometry-optimized LaIn2Cl structure.

Output
- E_tot: -15.4 eV/cell
- Polymorph energy (0 for the lowest one): 0.006 eV/f.u.
- Formation energy (no corrections): -0.7904 eV/atom

```
LaIn2Cl
1.0
4.806 -0.613 0.414
2.919 3.867 0.414
2.052 0.865 5.950
In La Cl
2 1 1
Direct
0.977 0.977 0.070
0.268 0.268 0.196
0.478 0.478 0.565
0.777 0.777 0.669
```

=====

# 9
A plane-wave DFT calculation with PBE was carried out for a geometry-optimized LaInCl2 structure.

Output
- E_tot: -15.7 eV/cell
- Polymorph energy (0 for the lowest one): 1.118 eV/f.u.
- Formation energy (no corrections): -1.0851 eV/atom

```
LaInCl2
1.0
-3.420 -1.085 -4.107
-0.744 -4.187 3.414
-2.614 1.843 1.691
Cl La In
2 1 1
Direct
0.500 0.500 0.000
0.000 0.000 0.000
0.000 0.500 0.500
0.500 0.000 0.500
```

=====

# 10
A plane-wave DFT calculation with PBE was carried out for a geometry-optimized LaIn2Cl structure.

Output
- E_tot: -14.9 eV/cell
- Polymorph energy (0 for the lowest one): 0.499 eV/f.u.
- Formation energy (no corrections): -0.6670 eV/atom

```
LaIn2Cl
1.0
-0.313 -5.473 3.657
5.591 -1.909 2.921
-4.706 4.568 -0.646
La Cl In
1 1 2
Direct
0.477 0.477 0.000
0.281 0.781 0.500
0.742 0.242 0.500
0.000 0.000 0.000
```

=====

# 11
A plane-wave DFT calculation with PBE was carried out for a geometry-optimized LaIn2Cl structure.

Output
- E_tot: -15.4 eV/cell
- Polymorph energy (0 for the lowest one): 0.062 eV/f.u.
- Formation energy (no corrections): -0.7762 eV/atom

```
LaIn2Cl
1.0
3.688 0.000 0.000
0.000 4.731 0.000
0.000 0.000 6.270
In La Cl
2 1 1
Direct
0.000 0.000 0.000
0.500 0.500 0.000
0.500 0.000 0.500
0.000 0.500 0.500
```

=====

# 12
A plane-wave DFT calculation with PBE was carried out for a geometry-optimized LaInCl2 structure.

Output
- E_tot: -16.7 eV/cell
- Polymorph energy (0 for the lowest one): 0.120 eV/f.u.
- Formation energy (no corrections): -1.3347 eV/atom

```
LaInCl2
1.0
10.456 -0.007 -0.004
9.790 3.672 -0.004
9.790 1.772 3.216
Cl La In
2 1 1
Direct
0.481 0.481 0.481
0.019 0.019 0.019
0.750 0.750 0.750
0.250 0.250 0.250
```

=====

Q: What is the formula in the sixth record?
A: La2InCl2